First-principles (PBE-GGA) data for crystalline BaNiAg2 at its relaxed geometry, as listed in the Alexandria database.

Values from the calculation:
- Density: 7.19 g/cm³
- Formation enthalpy at 0 K: 328 meV/atom
- E_tot: -3.024 eV/atom

Structure (extended XYZ):
```
4
Lattice="-5.998 -0.109 -1.398 4.419 -1.767 -3.910 -0.985 -3.743 -1.614" Properties=species:S:1:pos:R:3 pbc="T T T"
Ba -3.492 -1.926 -1.506
Ag -0.790 -0.938 -2.654
Ag 0.000 0.000 0.000
Ni 1.717 -2.755 -2.762
```

---

First-principles (PBE-GGA) data for crystalline AlTcHg2 at its relaxed geometry, as listed in the Alexandria database.

Values from the calculation:
- Density: 11.49 g/cm³
- Formation enthalpy at 0 K: 254 meV/atom
- E_tot: -3.424 eV/atom

Structure (extended XYZ):
```
4
Lattice="-3.166 -9.045 -0.791 -0.441 -9.369 -2.117 -0.691 -9.547 0.915" Properties=species:S:1:pos:R:3 pbc="T T T"
Hg -1.036 -6.741 -0.480
Hg -0.028 -0.180 -0.013
Al -3.269 -21.270 -1.515
Tc -2.114 -13.751 -0.980
```

---

First-principles (PBE-GGA) data for crystalline KCdIn2Hg at its relaxed geometry, as listed in the Alexandria database.

Values from the calculation:
- Density: 6.39 g/cm³
- Formation enthalpy at 0 K: -125 meV/atom
- E_tot: -1.683 eV/atom

Structure (extended XYZ):
```
5
Lattice="-1.356 -1.631 -4.358 -1.980 -3.929 2.087 -3.909 5.882 1.710" Properties=species:S:1:pos:R:3 pbc="T T T"
In -0.633 0.351 0.066
In -2.857 0.395 -1.954
K -4.883 2.716 0.503
Cd -3.113 -0.781 1.261
Hg -5.370 -0.720 -0.755
```

---

First-principles (PBE-GGA) data for crystalline NaInTe2 at its relaxed geometry, as listed in the Alexandria database.

Values from the calculation:
- Formation energy without anion corrections: -354 meV/atom
- Density: 5.59 g/cm³
- E_tot: -2.939 eV/atom

Structure (extended XYZ):
```
8
Lattice="-7.041 1.060 -4.516 0.367 -8.056 -2.462 -5.140 -4.376 -0.885" Properties=species:S:1:pos:R:3 pbc="T T T"
Te -1.668 -1.749 -1.744
Te -5.006 -5.247 -5.234
Te -5.189 -1.219 -4.002
Te -1.486 -5.777 -2.976
In -4.239 -3.937 -2.187
In -7.576 -7.435 -5.676
Na -4.055 -7.965 -3.418
Na -7.759 -3.407 -4.445
```

---

First-principles (PBE-GGA) data for crystalline LaTb2Sm2Y2 at its relaxed geometry, as listed in the Alexandria database.

Values from the calculation:
- Density: 6.55 g/cm³
- Formation enthalpy at 0 K: 94 meV/atom
- E_tot: -5.129 eV/atom

Structure (extended XYZ):
```
7
Lattice="3.544 0.000 0.000 -1.772 5.652 1.791 0.000 0.155 11.892" Properties=species:S:1:pos:R:3 pbc="T T T"
Y 1.772 0.612 2.851
Y 0.000 5.195 10.833
Sm 0.000 3.716 2.172
Sm 1.772 2.091 11.512
Tb 0.000 2.636 8.418
Tb 1.772 3.171 5.265
La 0.000 0.077 5.946
```

---

First-principles (PBE-GGA) data for crystalline YHgPd14 at its relaxed geometry, as listed in the Alexandria database.

Values from the calculation:
- Density: 11.34 g/cm³
- Formation enthalpy at 0 K: -220 meV/atom
- E_tot: -5.187 eV/atom

Structure (extended XYZ):
```
16
Lattice="-1.427 -4.087 -3.705 4.873 0.859 -2.825 3.643 -5.461 4.622" Properties=species:S:1:pos:R:3 pbc="T T T"
Pd 3.729 -0.781 -3.861
Pd 0.579 -3.254 -4.301
Pd 3.035 -3.340 -2.958
Pd 0.603 -3.769 -1.548
Pd 5.550 -3.511 -1.550
Pd 5.625 -4.113 1.273
Pd 1.292 -1.211 -2.449
Pd 3.192 -4.542 2.683
Pd 3.016 -2.825 -5.714
Pd 1.315 -1.728 0.301
Pd 2.480 -6.582 0.834
Pd 3.748 -1.300 -1.109
Pd 2.400 -5.985 -1.990
Pd 4.912 -6.154 -0.577
Y 4.837 -5.555 -3.403
Hg 3.114 -3.941 -0.138
```

---

First-principles (PBE-GGA) data for crystalline CePuZrOs at its relaxed geometry, as listed in the Alexandria database.

Values from the calculation:
- Density: 13.39 g/cm³
- Formation enthalpy at 0 K: -39 meV/atom
- E_tot: -10.050 eV/atom

Structure (extended XYZ):
```
4
Lattice="-3.844 0.566 -2.963 0.292 -1.395 -4.674 -2.492 -3.910 -1.543" Properties=species:S:1:pos:R:3 pbc="T T T"
Zr -3.022 -2.370 -4.590
Ce -4.533 -3.555 -6.885
Pu 0.000 0.000 0.000
Os -1.511 -1.185 -2.295
```

---

First-principles (PBE-GGA) data for crystalline Rb3Pu2HgO9 at its relaxed geometry, as listed in the Alexandria database.

Values from the calculation:
- Formation energy without anion corrections: -1971 meV/atom
- Density: 7.27 g/cm³
- E_tot: -7.071 eV/atom

Structure (extended XYZ):
```
15
Lattice="6.143 0.000 0.000 -3.072 5.320 0.000 0.000 0.000 7.609" Properties=species:S:1:pos:R:3 pbc="T T T"
Rb 0.000 0.000 0.000
Rb 3.072 1.773 2.632
Rb 0.000 3.547 4.978
O 1.667 0.963 5.263
O 4.476 0.963 5.263
O -1.536 2.660 0.000
O 0.000 1.925 2.346
O 1.405 4.358 2.346
O 3.072 3.395 5.263
O 3.072 0.000 0.000
O 1.536 2.660 0.000
O -1.405 4.358 2.346
Pu 0.000 3.547 1.213
Pu 3.072 1.773 6.397
Hg 0.000 0.000 3.805
```

---

First-principles (PBE-GGA) data for crystalline TiFeSb2I at its relaxed geometry, as listed in the Alexandria database.

Values from the calculation:
- Formation energy without anion corrections: 642 meV/atom
- Density: 5.94 g/cm³
- E_tot: -4.588 eV/atom

Structure (extended XYZ):
```
5
Lattice="4.852 0.000 0.000 0.000 4.852 0.000 0.000 0.000 5.633" Properties=species:S:1:pos:R:3 pbc="T T T"
Sb 2.426 0.000 0.000
Sb 0.000 2.426 0.000
I 0.000 0.000 2.817
Fe 0.000 0.000 0.000
Ti 2.426 2.426 2.817
```

---

First-principles (PBE-GGA) data for crystalline Th3Sc4Ag at its relaxed geometry, as listed in the Alexandria database.

Values from the calculation:
- Density: 7.79 g/cm³
- Formation enthalpy at 0 K: -53 meV/atom
- E_tot: -6.358 eV/atom

Structure (extended XYZ):
```
8
Lattice="3.504 0.000 0.000 0.000 3.504 0.000 0.000 0.000 17.086" Properties=species:S:1:pos:R:3 pbc="T T T"
Th 1.752 1.752 8.543
Th 1.752 1.752 13.167
Th 1.752 1.752 3.918
Sc 0.000 0.000 15.436
Sc 0.000 0.000 1.650
Sc 0.000 0.000 6.235
Sc 0.000 0.000 10.851
Ag 1.752 1.752 0.000
```

---

First-principles (PBE-GGA) data for crystalline Zr3W at its relaxed geometry, as listed in the Alexandria database.

Values from the calculation:
- Density: 8.86 g/cm³
- Formation enthalpy at 0 K: 270 meV/atom
- E_tot: -9.380 eV/atom

Structure (extended XYZ):
```
4
Lattice="-3.051 -1.089 -0.079 4.631 -7.950 -2.795 -1.397 -1.105 2.707" Properties=species:S:1:pos:R:3 pbc="T T T"
W 0.000 0.000 0.000
Zr -2.266 -3.388 1.326
Zr 0.092 -5.072 -0.083
Zr 2.450 -6.755 -1.493
```

---

First-principles (PBE-GGA) data for crystalline Dy2HoGaC at its relaxed geometry, as listed in the Alexandria database.

Values from the calculation:
- Density: 8.32 g/cm³
- Formation enthalpy at 0 K: -456 meV/atom
- E_tot: -5.663 eV/atom

Structure (extended XYZ):
```
5
Lattice="-3.107 2.742 -2.484 -0.498 -3.544 -3.289 -3.689 -1.859 2.562" Properties=species:S:1:pos:R:3 pbc="T T T"
Dy -0.249 -1.772 -1.644
Dy -1.844 -0.930 1.281
Ga -3.647 -1.331 -1.606
Ho -1.554 1.371 -1.242
C 0.000 0.000 0.000
```

---

First-principles (PBE-GGA) data for crystalline Na4Dy3Te8Pb at its relaxed geometry, as listed in the Alexandria database.

Values from the calculation:
- Formation energy without anion corrections: -1094 meV/atom
- Density: 5.75 g/cm³
- E_tot: -4.089 eV/atom

Structure (extended XYZ):
```
16
Lattice="8.908 0.000 0.000 0.000 9.169 0.172 -4.454 -4.452 6.302" Properties=species:S:1:pos:R:3 pbc="T T T"
Dy -2.227 2.358 3.237
Dy 4.454 4.584 0.086
Dy 2.227 2.358 3.237
Te 4.454 4.537 3.202
Te 4.454 0.207 3.202
Te -2.164 2.347 6.334
Te 6.618 2.370 0.140
Te 0.000 0.180 3.272
Te 0.000 4.510 3.272
Te 2.164 2.347 6.334
Te 2.290 2.370 0.140
Na 4.454 0.000 0.000
Na 2.227 -2.226 3.151
Na -2.227 -2.226 3.151
Na 0.000 0.000 0.000
Pb 0.000 4.584 0.086
```

---

First-principles (PBE-GGA) data for crystalline Sm2TmRu2 at its relaxed geometry, as listed in the Alexandria database.

Values from the calculation:
- Density: 9.47 g/cm³
- Formation enthalpy at 0 K: -274 meV/atom
- E_tot: -6.766 eV/atom

Structure (extended XYZ):
```
5
Lattice="-1.912 2.565 2.899 -5.612 -1.343 0.705 -1.356 -2.874 4.870" Properties=species:S:1:pos:R:3 pbc="T T T"
Sm -2.642 -1.504 4.419
Sm -6.238 -0.147 4.054
Tm -3.762 0.611 1.802
Ru -3.518 1.463 4.423
Ru -5.361 -3.114 4.050
```

---

First-principles (PBE-GGA) data for crystalline Ac6CoOs2Cl3 at its relaxed geometry, as listed in the Alexandria database.

Values from the calculation:
- Formation energy without anion corrections: -816 meV/atom
- Density: 8.37 g/cm³
- E_tot: -5.796 eV/atom

Structure (extended XYZ):
```
12
Lattice="-6.083 3.685 -2.083 0.135 -3.556 6.501 4.752 6.524 2.060" Properties=species:S:1:pos:R:3 pbc="T T T"
Ac 2.219 5.241 2.813
Ac -3.415 1.412 3.665
Ac 0.263 4.104 6.455
Ac -1.800 6.506 3.607
Ac -1.459 2.549 0.022
Ac 0.604 0.146 2.871
Os -4.010 1.270 0.779
Os -1.938 -1.142 3.638
Cl 1.463 0.927 6.084
Cl -2.659 5.726 0.394
Cl -0.598 3.326 3.239
Co 0.000 0.000 0.000
```

---

First-principles (PBE-GGA) data for crystalline BaAgOF2 at its relaxed geometry, as listed in the Alexandria database.

Values from the calculation:
- Formation energy without anion corrections: -1975 meV/atom
- Density: 5.86 g/cm³
- E_tot: -4.670 eV/atom

Structure (extended XYZ):
```
5
Lattice="-0.660 -4.088 -1.712 -1.463 -1.432 3.986 -3.943 1.080 -1.059" Properties=species:S:1:pos:R:3 pbc="T T T"
Ba -3.033 -2.220 0.607
F -0.330 -2.044 -0.856
F -0.732 -0.716 1.993
O -1.971 0.540 -0.530
Ag 0.000 0.000 0.000
```

---

First-principles (PBE-GGA) data for crystalline HoHf4Ge4 at its relaxed geometry, as listed in the Alexandria database.

Values from the calculation:
- Density: 9.40 g/cm³
- Formation enthalpy at 0 K: -424 meV/atom
- E_tot: -7.409 eV/atom

Structure (extended XYZ):
```
18
Lattice="-1.148 -3.673 3.674 1.278 -6.362 -5.960 8.507 -0.404 2.255" Properties=species:S:1:pos:R:3 pbc="T T T"
Hf 4.285 -6.013 -3.861
Hf 2.508 -3.075 2.372
Hf 1.311 -5.568 -2.115
Hf 5.258 -1.526 0.929
Hf 7.568 -4.097 1.310
Hf 7.068 -7.521 1.583
Hf 0.662 -5.816 1.286
Hf 5.887 -8.136 -1.630
Ge 1.100 -7.872 -0.536
Ge 6.601 -5.557 3.497
Ge 6.977 -6.058 -3.160
Ge 5.076 -3.739 2.416
Ge 2.595 -1.389 0.137
Ge 3.347 -7.381 -1.765
Ge 7.126 -5.926 -0.560
Ge 1.724 -3.830 -0.153
Ho 0.000 0.000 0.000
Ho 4.318 -5.219 -0.016
```

---

First-principles (PBE-GGA) data for crystalline Pm3TeRu at its relaxed geometry, as listed in the Alexandria database.

Values from the calculation:
- Formation energy without anion corrections: -374 meV/atom
- Density: 6.93 g/cm³
- E_tot: -5.708 eV/atom

Structure (extended XYZ):
```
5
Lattice="-3.505 -0.178 4.129 -1.493 -4.994 -1.483 3.854 -2.097 3.181" Properties=species:S:1:pos:R:3 pbc="T T T"
Pm -0.747 -2.497 -0.741
Pm -1.753 -0.089 2.065
Pm 1.927 -1.048 1.591
Te -0.572 -3.634 2.914
Ru 0.000 0.000 0.000
```

---

First-principles (PBE-GGA) data for crystalline Li2Au2I at its relaxed geometry, as listed in the Alexandria database.

Values from the calculation:
- Formation energy without anion corrections: -303 meV/atom
- Density: 8.44 g/cm³
- E_tot: -2.689 eV/atom

Structure (extended XYZ):
```
10
Lattice="7.439 0.000 0.000 0.000 7.439 0.000 0.000 0.000 3.802" Properties=species:S:1:pos:R:3 pbc="T T T"
I 0.000 0.000 0.000
I 3.719 3.719 0.000
Li 6.346 4.812 0.000
Li 2.627 6.346 0.000
Li 1.093 2.627 0.000
Li 4.812 1.093 0.000
Au 4.687 6.472 1.901
Au 2.752 0.967 1.901
Au 0.967 4.687 1.901
Au 6.472 2.752 1.901
```

---

First-principles (PBE-GGA) data for crystalline Ca4BiAsBr2 at its relaxed geometry, as listed in the Alexandria database.

Values from the calculation:
- Formation energy without anion corrections: -1379 meV/atom
- Density: 4.00 g/cm³
- E_tot: -3.864 eV/atom

Structure (extended XYZ):
```
8
Lattice="-3.622 0.783 -2.506 0.037 -7.275 -2.327 -4.290 -4.383 4.830" Properties=species:S:1:pos:R:3 pbc="T T T"
As -2.127 -5.829 1.252
Ca -4.708 -2.391 -1.929
Ca -4.915 -4.883 1.584
Ca -2.960 -5.992 -1.587
Ca -3.167 -8.484 1.926
Br -4.290 -4.383 4.830
Br -3.956 -1.800 1.162
Bi -6.083 -7.629 2.413
```

---

First-principles (PBE-GGA) data for crystalline Mn2Si2Rh3 at its relaxed geometry, as listed in the Alexandria database.

Values from the calculation:
- Formation energy without anion corrections: -428 meV/atom
- Density: 7.72 g/cm³
- E_tot: -7.748 eV/atom

Structure (extended XYZ):
```
7
Lattice="-0.572 2.743 -3.071 -2.862 -2.912 0.748 -1.835 3.354 6.154" Properties=species:S:1:pos:R:3 pbc="T T T"
Rh 0.000 0.000 0.000
Rh -2.795 -0.100 0.433
Rh -2.474 3.285 3.398
Mn -1.238 1.645 1.701
Mn -4.031 1.541 2.130
Si -1.864 1.559 -1.073
Si -3.405 1.627 4.904
```

---

First-principles (PBE-GGA) data for crystalline Hf2ScV at its relaxed geometry, as listed in the Alexandria database.

Values from the calculation:
- Density: 8.77 g/cm³
- Formation enthalpy at 0 K: 610 meV/atom
- E_tot: -8.229 eV/atom

Structure (extended XYZ):
```
8
Lattice="-0.702 6.576 -3.854 3.102 -3.289 -6.176 -1.461 0.830 -5.919" Properties=species:S:1:pos:R:3 pbc="T T T"
Hf 1.100 3.397 -13.406
Hf -0.291 1.957 -8.010
Hf -0.438 4.109 -4.779
Hf 1.508 -1.229 -5.703
Sc 1.200 1.644 -5.015
Sc 1.421 -0.407 -8.555
V -0.481 4.525 -7.394
V 0.000 0.000 0.000
```

---

First-principles (PBE-GGA) data for crystalline HoErTlGa at its relaxed geometry, as listed in the Alexandria database.

Values from the calculation:
- Density: 10.21 g/cm³
- Formation enthalpy at 0 K: -445 meV/atom
- E_tot: -4.078 eV/atom

Structure (extended XYZ):
```
4
Lattice="3.548 0.000 0.000 0.000 3.548 0.000 0.000 0.000 7.835" Properties=species:S:1:pos:R:3 pbc="T T T"
Tl 0.000 0.000 6.704
Ga 0.000 0.000 2.806
Ho 1.774 1.774 0.989
Er 1.774 1.774 4.605
```

---

First-principles (PBE-GGA) data for crystalline LiPrHgGe at its relaxed geometry, as listed in the Alexandria database.

Values from the calculation:
- Density: 7.47 g/cm³
- Formation enthalpy at 0 K: -490 meV/atom
- E_tot: -3.393 eV/atom

Structure (extended XYZ):
```
4
Lattice="-1.903 -0.015 -4.727 -4.799 -1.510 -0.810 -3.552 3.404 -1.327" Properties=species:S:1:pos:R:3 pbc="T T T"
Li -5.127 0.940 -3.432
Hg -7.690 1.410 -5.148
Ge -2.563 0.470 -1.716
Pr 0.000 0.000 0.000
```

---

First-principles (PBE-GGA) data for crystalline Zn2InIr at its relaxed geometry, as listed in the Alexandria database.

Values from the calculation:
- Density: 10.37 g/cm³
- Formation enthalpy at 0 K: 173 meV/atom
- E_tot: -3.363 eV/atom

Structure (extended XYZ):
```
4
Lattice="-0.272 -2.277 1.808 2.564 0.453 -1.322 2.755 5.379 7.189" Properties=species:S:1:pos:R:3 pbc="T T T"
Zn 1.457 2.844 3.801
Zn 2.675 5.224 6.981
In 1.835 0.433 2.040
Ir 3.212 3.122 5.635
```